No. 1
! PBE-GGA KSrAlH2, optimized geometry; values from VASP
! electronic total energy = -1.8007 eV/atom
! space-group type = P4/mmm, No. 123
&SYSTEM
  ibrav = 0, nat = 5, ntyp = 4
/
ATOMIC_SPECIES
Sr 87.62 Sr.upf
K 39.10 K.upf
Al 26.98 Al.upf
H 1.01 H.upf
CELL_PARAMETERS angstrom
4.881 0.000 0.000
0.000 5.930 0.000
0.000 0.000 4.881
ATOMIC_POSITIONS crystal
Sr 0.500 0.500 0.500
K 0.000 0.500 0.000
Al 0.000 0.000 0.000
H 0.000 0.000 0.500
H 0.500 0.000 0.000

---

No. 2
! PBE-GGA KAlTcH6, optimized geometry; values from VASP
! electronic total energy = -4.0705 eV/atom
! space-group type = P1, No. 1
&SYSTEM
  ibrav = 0, nat = 9, ntyp = 4
/
ATOMIC_SPECIES
K 39.10 K.upf
Al 26.98 Al.upf
Tc 98.00 Tc.upf
H 1.01 H.upf
CELL_PARAMETERS angstrom
4.500 0.206 0.000
2.426 4.074 0.000
-0.001 -0.004 5.588
ATOMIC_POSITIONS crystal
K 0.987 0.999 0.000
Al 0.679 0.664 0.500
Tc 0.374 0.317 0.500
H 0.053 0.478 0.288
H 0.439 0.020 0.712
H 0.489 0.510 0.718
H 0.053 0.480 0.712
H 0.487 0.512 0.282
H 0.441 0.019 0.288

---

No. 3
! PBE-GGA KAlZnH6, optimized geometry; values from VASP
! electronic total energy = -2.9665 eV/atom
! space-group type = P312, No. 149
&SYSTEM
  ibrav = 0, nat = 9, ntyp = 4
/
ATOMIC_SPECIES
K 39.10 K.upf
Al 26.98 Al.upf
Zn 65.41 Zn.upf
H 1.01 H.upf
CELL_PARAMETERS angstrom
-1.443 3.451 -2.872
1.345 0.024 -4.520
-4.595 -3.073 -1.384
ATOMIC_POSITIONS crystal
K 0.000 0.000 0.000
Al 0.333 0.333 0.500
Zn 0.667 0.667 0.500
H 0.013 0.362 0.324
H 0.362 0.013 0.676
H 0.625 0.362 0.676
H 0.013 0.625 0.676
H 0.362 0.625 0.324
H 0.625 0.013 0.324

---

No. 4
! PBE-GGA La2AlH, optimized geometry; values from VASP
! space-group type = R-3m, No. 166
! relative energy among the computed polymorphs = 0.0388 eV per atom
&SYSTEM
  ibrav = 0, nat = 4, ntyp = 3
/
ATOMIC_SPECIES
H 1.01 H.upf
Al 26.98 Al.upf
La 138.91 La.upf
CELL_PARAMETERS angstrom
-0.227 -0.293 3.744
-2.795 -1.973 1.567
3.418 -7.211 1.534
ATOMIC_POSITIONS crystal
H 0.500 0.500 0.500
Al 0.000 0.000 0.000
La 0.233 0.233 0.302
La 0.767 0.767 0.698

---

No. 5
! PBE-GGA LaAl2H, optimized geometry; values from VASP
! space-group type = Fm-3m, No. 225
! relative energy among the computed polymorphs = 0.6944 eV per atom
&SYSTEM
  ibrav = 0, nat = 4, ntyp = 3
/
ATOMIC_SPECIES
H 1.01 H.upf
Al 26.98 Al.upf
La 138.91 La.upf
CELL_PARAMETERS angstrom
-3.414 1.320 3.341
-3.315 3.515 -1.101
-4.754 -1.211 -0.704
ATOMIC_POSITIONS crystal
H 0.000 0.000 0.000
Al 0.250 0.250 0.250
Al 0.750 0.750 0.750
La 0.500 0.500 0.500

---

No. 6
! PBE-GGA LaAl2H, optimized geometry; values from VASP
! space-group type = Fd-3m, No. 227
! relative energy among the computed polymorphs = 0.0000 eV per atom
&SYSTEM
  ibrav = 0, nat = 8, ntyp = 3
/
ATOMIC_SPECIES
H 1.01 H.upf
Al 26.98 Al.upf
La 138.91 La.upf
CELL_PARAMETERS angstrom
-0.230 -5.203 2.786
-2.475 -2.446 -4.773
2.442 -4.783 -2.470
ATOMIC_POSITIONS crystal
H 0.500 0.500 0.000
H 0.250 0.750 0.500
Al 0.375 0.125 0.250
Al 0.375 0.625 0.250
Al 0.375 0.625 0.750
Al 0.875 0.625 0.750
La 0.000 0.000 0.000
La 0.750 0.250 0.500